No. 1
BeSb2Ir at its PBEsol-relaxed geometry. Source: Alexandria, functional SCAN.

a = 4.676 Å, b = 4.676 Å, c = 4.676 Å
α = 60.00°, β = 60.00°, γ = 60.00°
Element x y z (fractional)
Be  0.500  0.500  0.500
Ir  0.750  0.750  0.750
Sb  0.000  0.000  0.000
Sb  0.250  0.250  0.250

As for the mass density: 10.217 Mg/m³. As for the magnetic moment: 0.00 μB/f.u. The calculation puts the formation energy (no corrections) at 279 kJ/mol of formula units.

=====

No. 2
K2Cd3S4 at its PBEsol-relaxed geometry. Source: Alexandria, functional SCAN.

a = 6.622 Å, b = 10.138 Å, c = 13.691 Å
α = 90.00°, β = 90.00°, γ = 90.00°
Element x y z (fractional)
Cd  0.282  0.750  0.298
Cd  0.718  0.250  0.702
Cd  0.342  0.408  0.252
Cd  0.342  0.092  0.252
Cd  0.658  0.908  0.748
Cd  0.782  0.250  0.202
Cd  0.158  0.092  0.752
Cd  0.158  0.408  0.752
Cd  0.842  0.908  0.248
Cd  0.842  0.592  0.248
Cd  0.658  0.592  0.748
Cd  0.218  0.750  0.798
S  0.121  0.968  0.367
S  0.427  0.750  0.641
S  0.136  0.250  0.144
S  0.121  0.532  0.367
S  0.621  0.032  0.133
S  0.879  0.032  0.633
S  0.379  0.532  0.867
S  0.636  0.750  0.356
S  0.927  0.250  0.859
S  0.879  0.468  0.633
S  0.379  0.968  0.867
S  0.364  0.250  0.644
S  0.864  0.750  0.856
S  0.073  0.750  0.141
S  0.621  0.468  0.133
S  0.573  0.250  0.359
K  0.518  0.750  0.032
K  0.982  0.750  0.532
K  0.000  0.500  0.000
K  0.000  0.000  0.000
K  0.018  0.250  0.468
K  0.500  0.500  0.500
K  0.500  0.000  0.500
K  0.482  0.250  0.968

As for the mass density: 3.929 Mg/m³. As for the magnetic moment: 0.00 μB/f.u. The calculation puts the formation energy (no corrections) at -871 kJ/mol of formula units.

=====

No. 3
Ir2RuW at its PBEsol-relaxed geometry. Source: Alexandria, functional SCAN.

a = 3.838 Å, b = 3.838 Å, c = 4.712 Å
α = 114.03°, β = 114.03°, γ = 90.00°
Element x y z (fractional)
Ru  0.500  0.500  0.000
Ir  0.250  0.750  0.500
Ir  0.750  0.250  0.500
W  0.000  0.000  0.000

As for the mass density: 19.590 Mg/m³. Its total energy is -61.97 eV/atom. As for the magnetic moment: 0.00 μB/f.u.

=====

No. 4
ZrGaAs2Br at its PBEsol-relaxed geometry. Source: Alexandria, functional SCAN.

a = 4.784 Å, b = 4.784 Å, c = 4.919 Å
α = 90.00°, β = 90.00°, γ = 90.00°
Site moments in Bohr magnetons follow the coordinates.
Element x y z (fractional)
As  0.000  0.500  0.000  -0.09
As  0.500  0.000  0.000  -0.09
Ga  0.000  0.000  0.000  0.00
Br  0.000  0.000  0.500  -0.04
Zr  0.500  0.500  0.500  0.83

As for the mass density: 5.764 Mg/m³. As for the magnetic moment: 0.81 μB/f.u. The calculation puts the formation energy (no corrections) at 179 kJ/mol of formula units.